Computed, not measured: a relaxed Li2NbSi2 crystal at the PBE-GGA level of DFT.

```
Li2NbSi2
1.0
7.055 0.000 0.000
0.000 7.055 0.000
0.000 0.000 2.837
Si Li Nb
4 4 2
direct
0.366 0.866 0.000
0.134 0.366 0.000
0.866 0.634 0.000
0.634 0.134 0.000
0.338 0.162 0.500
0.162 0.662 0.500
0.662 0.838 0.500
0.838 0.338 0.500
0.000 0.000 0.000
0.500 0.500 0.000
```

Calculated values
SG: P4/mbm (127)
Raw total energy (eV/cell): -50.266
ΔE_f (raw) (eV/atom): -0.078
Calculated density (g/cm³): 3.83

Computed, not measured: a relaxed Sc2CoMo crystal at the PBE-GGA level of DFT.

```
Sc2CoMo
1.0
-0.071 -1.623 -3.941
2.822 -1.122 0.411
-0.750 -5.071 2.102
Sc Co Mo
2 1 1
direct
0.500 0.264 0.287
0.000 0.998 0.964
0.000 0.562 0.517
0.500 0.676 0.733
```

Calculated values
SG: Pm (6)
Raw total energy (eV/cell): -30.132
Calculated density (g/cm³): 5.82
ΔE_f (meV/atom): 117.1